1.
PBE SrNdHo2, optimized geometry; volume = 143.8 Å³ per cell; formation energy = 126 meV/atom; symmetry = R3m, No. 160
1.0
-2.941 0.183 -2.227
-3.394 -0.465 1.380
-2.920 11.875 1.766
Ho Sr Nd
2 1 1
Cartesian
-2.301 2.703 0.196
-2.731 9.078 1.287
-4.626 5.778 0.456
-4.225 -0.170 -0.561

2.
PBE TaCrSe2I, optimized geometry; volume = 143.9 Å³ per cell; formation energy from raw total energies = 292 meV per atom; symmetry = P4/mmm, No. 123
1.0
4.963 0.000 0.000
0.000 5.841 0.000
0.000 0.000 4.963
Se Ta I Cr
2 1 1 1
Cartesian
2.481 0.000 0.000
0.000 0.000 2.481
0.000 0.000 0.000
0.000 2.921 0.000
2.481 2.921 2.481

3.
PBE Li2InPd, optimized geometry; volume = 145.6 Å³ per cell; formation energy = -254 meV/atom; symmetry = I-42d, No. 122
1.0
3.858 0.000 0.000
0.000 3.858 0.000
1.929 1.929 9.778
Pd Li In
2 4 2
Cartesian
1.929 3.858 4.889
1.929 1.929 0.000
4.823 4.739 7.334
2.809 0.965 2.445
1.049 2.894 2.445
2.894 2.978 7.334
3.858 1.929 4.889
0.000 0.000 0.000

4.
PBE Y2Be3AlIr4, optimized geometry; volume = 157.6 Å³ per cell; formation energy = -715 meV/atom; symmetry = P-4m2, No. 115
1.0
-3.805 -1.162 0.834
1.233 -3.866 0.240
1.699 1.121 9.318
Ir Y Al Be
4 2 1 3
Cartesian
-1.286 -2.514 0.537
-0.812 0.139 6.399
0.000 0.000 0.000
1.225 -1.532 3.456
-1.508 -0.320 2.584
1.920 -1.073 7.270
-0.437 -1.954 5.196
-0.394 0.415 8.693
0.806 -1.808 1.161
0.849 0.561 4.659

5.
PBE RbCdC2, optimized geometry; volume = 163.3 Å³ per cell; formation energy = 2038 meV/atom; symmetry = I4_1/amd, No. 141
1.0
-2.561 3.551 -1.407
-3.184 -1.049 3.149
0.671 5.832 5.979
Cd C Rb
2 4 2
Cartesian
-2.381 5.317 2.721
0.000 0.000 0.000
-4.063 3.910 2.231
-2.471 4.434 0.657
-0.855 5.574 4.350
-2.136 7.350 3.646
-2.873 1.251 0.871
-2.693 3.017 4.999

6.
PBE LiGd2Tm, optimized geometry; volume = 115.1 Å³ per cell; formation energy = 70 meV/atom; symmetry = P4/mmm, No. 123
1.0
3.630 0.000 0.000
0.000 3.630 0.000
0.000 0.000 8.733
Tm Gd Li
1 2 1
Cartesian
1.815 1.815 4.367
0.000 0.000 6.746
0.000 0.000 1.987
1.815 1.815 0.000

7.
PBE KZn2CdGa, optimized geometry; volume = 218.2 Å³ per cell; formation energy = 875 meV/atom; symmetry = P4/mmm, No. 123
1.0
5.897 0.000 0.000
0.000 6.276 0.000
0.000 0.000 5.897
Zn Cd K Ga
2 1 1 1
Cartesian
0.000 0.000 2.948
2.948 0.000 0.000
0.000 3.138 0.000
0.000 0.000 0.000
2.948 3.138 2.948

8.
PBE KLiY, optimized geometry; volume = 108.3 Å³ per cell; formation energy = 327 meV/atom; symmetry = Fmm2, No. 42
1.0
-0.967 7.639 -6.001
-3.874 5.708 -6.565
-0.648 2.729 2.153
Y K Li
1 1 1
Cartesian
-3.521 10.005 -7.933
-4.818 13.286 -12.483
-1.991 6.131 -2.563